A plane-wave DFT calculation with GGA-PBE was carried out for crystalline Li2Th3Tl6 at its relaxed geometry.

Lattice parameters (Å, degrees): 4.7535 4.7535 13.3639 100.24 100.24 90.00
With the nearest neighbours (Å) after each atom.
Atoms (fractional coordinates):
1 Li 0.4542 0.4542 0.9083  1 Li 2.37
2 Li 0.5458 0.5458 0.0917  1 Li 2.37
3 Th 0.0000 0.0000 0.0000  8 Tl 3.43, 8 Li 3.56
4 Th 0.8098 0.8098 0.6195  9 Tl 3.15-3.41
5 Th 0.1902 0.1902 0.3805  9 Tl 3.15-3.41
6 Tl 0.0955 0.5955 0.1910  2 Li 2.70
7 Tl 0.5955 0.0955 0.1910  2 Li 2.70
8 Tl 0.9045 0.4045 0.8090  2 Li 2.70
9 Tl 0.4045 0.9045 0.8090  2 Li 2.70
10 Tl 0.6879 0.6879 0.3758  5 Th 3.15-3.36, 4 Tl 3.37
11 Tl 0.3121 0.3121 0.6242  5 Th 3.15-3.36, 4 Tl 3.37

Calculated values
- space-group type = I4/mmm, No. 139
- VASP energy (eV per cell) = -41.1
- ρ (Mg/m³) = 11.00
- total magnetization (μB per atom) = 0.00
- calculated volume (A^3/atom) = 26.569
- formation energy from the elements (meV per atom) = -74